DFT (PBE) results for a relaxed Pr3HoZn2 crystal.

a b c (Å): 5.4408 7.4515 9.4853
angles (deg): 113.13 106.67 90.00
Fractional positions:
Pr 0.5000 0.7500 0.0000
Pr 0.8202 0.0702 0.6404
Pr 0.5000 0.2500 0.0000
Pr 0.1798 0.4298 0.3596
Pr 0.1798 0.9298 0.3596
Pr 0.8202 0.5702 0.6404
Zn 0.6563 0.1565 0.3130
Zn 0.3433 0.3435 0.6870
Zn 0.3437 0.8435 0.6870
Zn 0.6567 0.6565 0.3130
Ho 0.0000 0.5000 0.0000
Ho 0.0000 0.0000 0.0000

Properties
The value obtained for the relative energy among the computed polymorphs is 65 meV per atom. The value obtained for the density is 7.1 g/cm3. The value obtained for the total energy is -0.1360 Ha/atom. As for the energy of formation from the pure elements: -0.12 eV/atom.